Pm2SnSb3Pt4: optimized geometry, PBE-GGA.

Cell: 4.551 4.551 10.985 Å, 90.00 90.00 90.00°
Fractional positions:
Pm 0.500 0.000 0.227
Pm 0.000 0.500 0.773
Sn 0.500 0.500 0.500
Sb 0.000 0.000 0.500
Sb 0.500 0.000 0.869
Sb 0.000 0.500 0.131
Pt 0.500 0.500 0.000
Pt 0.000 0.000 0.000
Pt 0.500 0.000 0.634
Pt 0.000 0.500 0.366

For the total magnetization, the calculation gives 0.0 μB/cell. The total energy comes out at -5.82 eV/atom. Its space group is No. 115.